1.
Entry from Alexandria via LeMat-Bulk: RbHg2H3 after structural relaxation (GGA-PBE).

The structure in CIF format:
```
data_RbHg2H3
_chemical_formula_sum 'Rb16 Hg32 H48'
_symmetry_space_group_name_H-M 'F d d d'
_symmetry_Int_Tables_number 70
_cell_length_a 6.9635
_cell_length_b 12.5319
_cell_length_c 26.2391
_cell_angle_alpha 90.00
_cell_angle_beta 90.00
_cell_angle_gamma 90.00
loop_
_symmetry_equiv_pos_as_xyz
'x,y,z'
'-x,-y,-z'
'-x+1/4,-y+1/4,z'
'x+1/4,y+1/4,-z'
'x,-y+1/4,-z+1/4'
'-x,y+1/4,z+1/4'
'-x+1/4,y,-z+1/4'
'x+1/4,-y,z+1/4'
'x,y+1/2,z+1/2'
'-x,-y+1/2,-z+1/2'
'-x+1/4,-y+3/4,z+1/2'
'x+1/4,y+3/4,-z+1/2'
'x,-y+3/4,-z+3/4'
'-x,y+3/4,z+3/4'
'-x+1/4,y+1/2,-z+3/4'
'x+1/4,-y+1/2,z+3/4'
'x+1/2,y,z+1/2'
'-x+1/2,-y,-z+1/2'
'-x+3/4,-y+1/4,z+1/2'
'x+3/4,y+1/4,-z+1/2'
'x+1/2,-y+1/4,-z+3/4'
'-x+1/2,y+1/4,z+3/4'
'-x+3/4,y,-z+3/4'
'x+3/4,-y,z+3/4'
'x+1/2,y+1/2,z'
'-x+1/2,-y+1/2,-z'
'-x+3/4,-y+3/4,z'
'x+3/4,y+3/4,-z'
'x+1/2,-y+3/4,-z+1/4'
'-x+1/2,y+3/4,z+1/4'
'-x+3/4,y+1/2,-z+1/4'
'x+3/4,-y+1/2,z+1/4'
loop_
_atom_site_label
_atom_site_type_symbol
_atom_site_fract_x
_atom_site_fract_y
_atom_site_fract_z
Rb1 Rb 0.1250 0.2880 0.1250
Hg1 Hg 0.1250 0.1250 0.9998
Hg2 Hg 0.1250 0.1250 0.4950
H1 H 0.0029 0.0857 0.6252
H2 H 0.1250 0.0460 0.6250
```

Values from the calculation:
Energy, eV per atom: -1.82
Crystal system: orthorhombic


2.
Entry from Alexandria via LeMat-Bulk: AcLa6Th2 after structural relaxation (GGA-PBE).

The structure in CIF format:
```
data_AcLa6Th2
_chemical_formula_sum 'Ac1 La6 Th2'
_symmetry_space_group_name_H-M 'P -6 m 2'
_symmetry_Int_Tables_number 187
_symmetry_space_group_name_Hall 'P -6 2'
_cell_length_a 3.6948
_cell_length_b 3.6948
_cell_length_c 27.9760
_cell_angle_alpha 90.00
_cell_angle_beta 90.00
_cell_angle_gamma 120.00
loop_
_atom_site_label
_atom_site_type_symbol
_atom_site_fract_x
_atom_site_fract_y
_atom_site_fract_z
Ac1 Ac 0.0000 0.0000 0.0000
La1 La 0.0000 0.0000 0.2279
La2 La 0.0000 0.0000 0.4376
La3 La 0.3333 0.6667 0.1148
Th1 Th 0.3333 0.6667 0.3335
```

Values from the calculation:
Crystal system: hexagonal
Formation energy from the elements, meV per atom: 81


3.
Entry from Alexandria via LeMat-Bulk: Pr3Ga4Ag after structural relaxation (GGA-PBE).

The structure in CIF format:
```
data_Pr3Ga4Ag
_chemical_formula_sum 'Pr6 Ga8 Ag2'
_symmetry_space_group_name_H-M 'I m m m'
_symmetry_Int_Tables_number 71
_symmetry_space_group_name_Hall '-I 2 2'
_cell_length_a 4.7040
_cell_length_b 6.6963
_cell_length_c 13.5018
_cell_angle_alpha 90.00
_cell_angle_beta 90.00
_cell_angle_gamma 90.00
loop_
_atom_site_label
_atom_site_type_symbol
_atom_site_fract_x
_atom_site_fract_y
_atom_site_fract_z
Pr1 Pr 0.0000 0.0000 0.0000
Pr2 Pr 0.0000 0.5000 0.1842
Ga1 Ga 0.0000 0.3009 0.3833
Ag1 Ag 0.0000 0.0000 0.5000
```

Values from the calculation:
Crystal system: orthorhombic
Formation energy from the elements, meV per atom: -370


4.
Entry from Alexandria via LeMat-Bulk: CsUInBr6 after structural relaxation (GGA-PBE).

The structure in CIF format:
```
data_CsUInBr6
_chemical_formula_sum 'Cs2 U2 In2 Br12'
_symmetry_space_group_name_H-M 'P -3 1 c'
_symmetry_Int_Tables_number 163
_symmetry_space_group_name_Hall '-P 3 2c'
_cell_length_a 8.1601
_cell_length_b 8.1601
_cell_length_c 14.7363
_cell_angle_alpha 90.00
_cell_angle_beta 90.00
_cell_angle_gamma 120.00
loop_
_atom_site_label
_atom_site_type_symbol
_atom_site_fract_x
_atom_site_fract_y
_atom_site_fract_z
Cs1 Cs 0.0000 0.0000 0.0000
U1 U 0.3333 0.6667 0.2500
In1 In 0.3333 0.6667 0.7500
Br1 Br 0.0454 0.3950 0.1407
```

Values from the calculation:
Raw formation energy, meV per atom: -1320.1
Crystal system: trigonal


5.
Entry from Alexandria via LeMat-Bulk: La2HoSc after structural relaxation (GGA-PBE).

The structure in CIF format:
```
data_La2HoSc
_chemical_formula_sum 'La8 Ho4 Sc4'
_symmetry_space_group_name_H-M 'F m -3 m'
_symmetry_Int_Tables_number 225
_symmetry_space_group_name_Hall '-F 4 2 3'
_cell_length_a 8.0392
_cell_length_b 8.0392
_cell_length_c 8.0392
_cell_angle_alpha 90.00
_cell_angle_beta 90.00
_cell_angle_gamma 90.00
loop_
_atom_site_label
_atom_site_type_symbol
_atom_site_fract_x
_atom_site_fract_y
_atom_site_fract_z
La1 La 0.2500 0.2500 0.2500
Ho1 Ho 0.0000 0.0000 0.0000
Sc1 Sc 0.0000 0.0000 0.5000
```

Values from the calculation:
Offset from the most stable computed form, eV/atom: 0.038
Crystal system: cubic
Formation energy from the elements, meV per atom: 79


6.
Entry from Alexandria via LeMat-Bulk: GdYMgCr after structural relaxation (GGA-PBE).

The structure in CIF format:
```
data_GdYMgCr
_chemical_formula_sum 'Gd4 Y4 Mg4 Cr4'
_symmetry_space_group_name_H-M 'F -4 3 m'
_symmetry_Int_Tables_number 216
_symmetry_space_group_name_Hall 'F -4 2 3'
_cell_length_a 7.3873
_cell_length_b 7.3873
_cell_length_c 7.3873
_cell_angle_alpha 90.00
_cell_angle_beta 90.00
_cell_angle_gamma 90.00
loop_
_atom_site_label
_atom_site_type_symbol
_atom_site_fract_x
_atom_site_fract_y
_atom_site_fract_z
Gd1 Gd 0.0000 0.0000 0.0000
Y1 Y 0.0000 0.0000 0.5000
Mg1 Mg 0.2500 0.2500 0.7500
Cr1 Cr 0.2500 0.2500 0.2500
```

Values from the calculation:
Crystal system: cubic
Formation energy from the elements, meV per atom: 156


7.
Entry from Alexandria via LeMat-Bulk: Tb2PrSm5 after structural relaxation (GGA-PBE).

The structure in CIF format:
```
data_Tb2PrSm5
_chemical_formula_sum 'Tb4 Pr2 Sm10'
_symmetry_space_group_name_H-M 'P 1 21/m 1'
_symmetry_Int_Tables_number 11
_cell_length_a 7.2041
_cell_length_b 10.1034
_cell_length_c 7.9952
_cell_angle_alpha 90.00
_cell_angle_beta 103.04
_cell_angle_gamma 90.00
loop_
_symmetry_equiv_pos_as_xyz
'x,y,z'
'-x,-y,-z'
'-x,y+1/2,-z'
'x,-y+1/2,z'
loop_
_atom_site_label
_atom_site_type_symbol
_atom_site_fract_x
_atom_site_fract_y
_atom_site_fract_z
Tb1 Tb 0.0892 0.0924 0.3643
Pr1 Pr 0.0730 0.7500 0.2789
Sm1 Sm 0.2514 0.0286 0.0004
Sm2 Sm 0.4078 0.5923 0.6388
Sm3 Sm 0.4350 0.2500 0.7240
```

Values from the calculation:
Offset from the most stable computed form, eV/atom: 0.220
Crystal system: monoclinic
Formation energy from the elements, meV per atom: 235


8.
Entry from Alexandria via LeMat-Bulk: Na8ZnIn2 after structural relaxation (GGA-PBE).

The structure in CIF format:
```
data_Na8ZnIn2
_chemical_formula_sum 'Na16 Zn2 In4'
_symmetry_space_group_name_H-M 'C 1 2/m 1'
_symmetry_Int_Tables_number 12
_cell_length_a 18.5593
_cell_length_b 5.5063
_cell_length_c 6.2654
_cell_angle_alpha 90.00
_cell_angle_beta 92.48
_cell_angle_gamma 90.00
loop_
_symmetry_equiv_pos_as_xyz
'x,y,z'
'-x,-y,-z'
'-x,y,-z'
'x,-y,z'
'x+1/2,y+1/2,z'
'-x+1/2,-y+1/2,-z'
'-x+1/2,y+1/2,-z'
'x+1/2,-y+1/2,z'
loop_
_atom_site_label
_atom_site_type_symbol
_atom_site_fract_x
_atom_site_fract_y
_atom_site_fract_z
Na1 Na 0.0473 0.0000 0.2469
Na2 Na 0.0867 0.5000 0.5760
Na3 Na 0.1538 0.0000 0.8179
Na4 Na 0.1726 0.5000 0.1195
Zn1 Zn 0.0000 0.5000 0.0000
In1 In 0.2359 0.0000 0.3677
```

Values from the calculation:
Crystal system: monoclinic
Formation energy from the elements, meV per atom: -15


9.
Entry from Alexandria via LeMat-Bulk: KNbO3 after structural relaxation (GGA-PBE).

The structure in CIF format:
```
data_KNbO3
_chemical_formula_sum 'K2 Nb2 O6'
_symmetry_space_group_name_H-M 'P 63/m m c'
_symmetry_Int_Tables_number 194
_symmetry_space_group_name_Hall '-P 6c 2c'
_cell_length_a 3.9750
_cell_length_b 3.9750
_cell_length_c 8.5027
_cell_angle_alpha 90.00
_cell_angle_beta 90.00
_cell_angle_gamma 120.00
loop_
_atom_site_label
_atom_site_type_symbol
_atom_site_fract_x
_atom_site_fract_y
_atom_site_fract_z
K1 K 0.3333 0.6667 0.2500
Nb1 Nb 0.0000 0.0000 0.0000
O1 O 0.0000 0.0000 0.2500
O2 O 0.3333 0.6667 0.5407
```

Values from the calculation:
Raw formation energy, meV per atom: -1553.2
Crystal system: hexagonal


10.
Entry from Alexandria via LeMat-Bulk: CrTeP2Cl after structural relaxation (GGA-PBE).

The structure in CIF format:
```
data_CrTeP2Cl
_chemical_formula_sum 'Cr1 Te1 P2 Cl1'
_symmetry_space_group_name_H-M 'P 4/m m m'
_symmetry_Int_Tables_number 123
_symmetry_space_group_name_Hall '-P 4 2'
_cell_length_a 5.1092
_cell_length_b 5.1092
_cell_length_c 5.1656
_cell_angle_alpha 90.00
_cell_angle_beta 90.00
_cell_angle_gamma 90.00
loop_
_atom_site_label
_atom_site_type_symbol
_atom_site_fract_x
_atom_site_fract_y
_atom_site_fract_z
Cr1 Cr 0.0000 0.0000 0.0000
Te1 Te 0.5000 0.5000 0.5000
P1 P 0.0000 0.5000 0.5000
Cl1 Cl 0.5000 0.5000 0.0000
```

Values from the calculation:
Raw formation energy, meV per atom: 1086.9
Offset from the most stable computed form, eV/atom: 0.756
Crystal system: tetragonal


11.
Entry from Alexandria via LeMat-Bulk: ThPaGaHg after structural relaxation (GGA-PBE).

The structure in CIF format:
```
data_ThPaGaHg
_chemical_formula_sum 'Th4 Pa4 Ga4 Hg4'
_symmetry_space_group_name_H-M 'F -4 3 m'
_symmetry_Int_Tables_number 216
_symmetry_space_group_name_Hall 'F -4 2 3'
_cell_length_a 7.4310
_cell_length_b 7.4310
_cell_length_c 7.4310
_cell_angle_alpha 90.00
_cell_angle_beta 90.00
_cell_angle_gamma 90.00
loop_
_atom_site_label
_atom_site_type_symbol
_atom_site_fract_x
_atom_site_fract_y
_atom_site_fract_z
Th1 Th 0.0000 0.0000 0.0000
Pa1 Pa 0.0000 0.0000 0.5000
Ga1 Ga 0.2500 0.2500 0.2500
Hg1 Hg 0.2500 0.2500 0.7500
```

Values from the calculation:
Crystal system: cubic
Formation energy from the elements, meV per atom: -48


12.
Entry from Alexandria via LeMat-Bulk: Cs2SiH2F4 after structural relaxation (GGA-PBE).

The structure in CIF format:
```
data_Cs2SiH2F4
_chemical_formula_sum 'Cs4 Si2 H4 F8'
_symmetry_space_group_name_H-M 'C 1 2/m 1'
_symmetry_Int_Tables_number 12
_cell_length_a 10.7192
_cell_length_b 6.0612
_cell_length_c 5.0842
_cell_angle_alpha 90.00
_cell_angle_beta 92.93
_cell_angle_gamma 90.00
loop_
_symmetry_equiv_pos_as_xyz
'x,y,z'
'-x,-y,-z'
'-x,y,-z'
'x,-y,z'
'x+1/2,y+1/2,z'
'-x+1/2,-y+1/2,-z'
'-x+1/2,y+1/2,-z'
'x+1/2,-y+1/2,z'
loop_
_atom_site_label
_atom_site_type_symbol
_atom_site_fract_x
_atom_site_fract_y
_atom_site_fract_z
Cs1 Cs 0.1580 0.0000 0.2094
Si1 Si 0.0000 0.5000 0.5000
H1 H 0.1040 0.5000 0.3066
F1 F 0.0812 0.2902 0.6875
```

Values from the calculation:
Energy, eV per atom: -4.55
Crystal system: monoclinic


Computed size of the total moment (μB/atom) in order:
0.000 0.000 0.000 0.222 0.000 2.653 0.000 0.000 0.000 0.726 0.308 0.000